# 1
# BC

A geometry-optimized BC structure (PBE, the Alexandria database).

CIF file:
```
data_BC
_cell_length_a 11.8233
_cell_length_b 11.8233
_cell_length_c 11.8233
_cell_angle_alpha 12.42
_cell_angle_beta 12.42
_cell_angle_gamma 12.42
_symmetry_space_group_name_H-M 'P 1'
_symmetry_Int_Tables_number 1
_symmetry_space_group_name_Hall 'P 1'
loop_
_atom_site_label
_atom_site_type_symbol
_atom_site_fract_x
_atom_site_fract_y
_atom_site_fract_z
_atom_site_occupancy
C1 C 0.3433 0.3433 0.3433 1
B1 B 0.1614 0.1614 0.1614 1
B2 B 0.6005 0.6005 0.6005 1
C2 C 0.9950 0.9950 0.9950 1
C3 C 0.5534 0.5534 0.5534 1
C4 C 0.9517 0.9517 0.9517 1
C5 C 0.2067 0.2067 0.2067 1
B3 B 0.3882 0.3882 0.3882 1
B4 B 0.7511 0.7511 0.7511 1
B5 B 0.7988 0.7988 0.7988 1
```

Values from the calculation:
* space group: No. 160
* E above lowest polymorph: 0.273 eV per atom
* crystal system: trigonal

# 2
# B7C5

A geometry-optimized B7C5 structure (PBE, the Alexandria database).

CIF file:
```
data_B7C5
_cell_length_a 2.5830
_cell_length_b 2.5830
_cell_length_c 14.3500
_cell_angle_alpha 90.00
_cell_angle_beta 90.00
_cell_angle_gamma 120.00
_symmetry_space_group_name_H-M 'P 1'
_symmetry_Int_Tables_number 1
_symmetry_space_group_name_Hall 'P 1'
loop_
_atom_site_label
_atom_site_type_symbol
_atom_site_fract_x
_atom_site_fract_y
_atom_site_fract_z
_atom_site_occupancy
B1 B 0.0000 0.0000 0.4671 1
C1 C 0.3333 0.6667 0.0436 1
B2 B 0.6667 0.3333 0.3128 1
C2 C 0.0000 0.0000 0.0091 1
B3 B 0.6667 0.3333 0.7370 1
C3 C 0.0000 0.0000 0.3603 1
B4 B 0.6667 0.3333 0.8552 1
B5 B 0.3333 0.6667 0.6595 1
C4 C 0.6667 0.3333 0.2024 1
B6 B 0.3333 0.6667 0.1588 1
C5 C 0.0000 0.0000 0.9026 1
B7 B 0.3333 0.6667 0.5415 1
```

Values from the calculation:
* space group: No. 156
* E above lowest polymorph: 0.348 eV per atom
* crystal system: trigonal

# 3
# BC

A geometry-optimized BC structure (PBE, the Alexandria database).

CIF file:
```
data_BC
_cell_length_a 4.6935
_cell_length_b 4.6935
_cell_length_c 7.9361
_cell_angle_alpha 114.67
_cell_angle_beta 114.67
_cell_angle_gamma 32.20
_symmetry_space_group_name_H-M 'P 1'
_symmetry_Int_Tables_number 1
_symmetry_space_group_name_Hall 'P 1'
loop_
_atom_site_label
_atom_site_type_symbol
_atom_site_fract_x
_atom_site_fract_y
_atom_site_fract_z
_atom_site_occupancy
C1 C 0.8470 0.8470 0.5491 1
C2 C 0.8075 0.8075 0.0111 1
B1 B 0.5434 0.5434 0.9006 1
B2 B 0.1390 0.1390 0.2487 1
C3 C 0.1606 0.1606 0.6972 1
B3 B 0.3558 0.3558 0.1317 1
C4 C 0.6651 0.6651 0.8102 1
B4 B 0.9906 0.9906 0.0180 1
B5 B 0.3095 0.3095 0.6367 1
C5 C 0.9975 0.9975 0.5149 1
C6 C 0.6837 0.6837 0.3637 1
B6 B 0.5004 0.5004 0.3681 1
```

Values from the calculation:
* space group: No. 8
* E above lowest polymorph: 0.284 eV per atom
* crystal system: monoclinic

# 4
# BC

A geometry-optimized BC structure (PBE, the Alexandria database).

CIF file:
```
data_BC
_cell_length_a 4.6617
_cell_length_b 4.6533
_cell_length_c 4.7138
_cell_angle_alpha 101.48
_cell_angle_beta 102.02
_cell_angle_gamma 117.00
_symmetry_space_group_name_H-M 'P 1'
_symmetry_Int_Tables_number 1
_symmetry_space_group_name_Hall 'P 1'
loop_
_atom_site_label
_atom_site_type_symbol
_atom_site_fract_x
_atom_site_fract_y
_atom_site_fract_z
_atom_site_occupancy
B1 B 0.0606 0.7210 0.1042 1
B2 B 0.2325 0.4908 0.6435 1
C1 C 0.3523 0.6803 0.9972 1
C2 C 0.6924 0.0204 0.1159 1
C3 C 0.5275 0.5108 0.5034 1
B3 B 0.8241 0.1452 0.4906 1
C4 C 0.5411 0.2201 0.6112 1
B4 B 0.1539 0.9084 0.5152 1
B5 B 0.7041 0.2992 0.9752 1
C5 C 0.8618 0.8533 0.6417 1
B6 B 0.3128 0.3941 0.1525 1
C6 C 0.9870 0.0063 0.9996 1
```

Values from the calculation:
* space group: No. 1
* E above lowest polymorph: 0.306 eV per atom
* crystal system: triclinic

Table of DFT formation energy (eV per atom), in record order: 0.42 0.51 0.44 0.46